Entry 1:
This record from the Alexandria database describes crystalline Pb4WSe at its relaxed geometry. The functional is PBE.

Its total energy is -4.138 eV/atom. Its formation energy from raw total energies is 1074 meV/atom.

The structure belongs to space group F-43m (No. 216); the cell edges are 8.893, 8.893 and 8.893 Å and the angles 90.00°, 90.00° and 90.00°. The distinct sites, in fractional coordinates, are Pb at (0.124, 0.124, 0.376), W at (0.250, 0.250, 0.750) and Se at (0.000, 0.000, 0.000).

Entry 2:
This record from the Alexandria database describes crystalline BaTeP at its relaxed geometry. The functional is PBE.

Its total energy is -4.165 eV/atom. Its formation energy from raw total energies is -673 meV/atom.

The structure belongs to space group Imm2 (No. 44); the cell edges are 4.190, 4.871 and 10.991 Å and the angles 90.00°, 90.00° and 90.00°. The distinct sites, in fractional coordinates, are Ba at (0.000, 0.000, 0.000), Te at (0.000, 0.000, 0.656) and P at (0.000, 0.000, 0.432).

Entry 3:
This record from the Alexandria database describes crystalline ZnInPCl2 at its relaxed geometry. The functional is PBE.

Its total energy is -2.757 eV/atom. Its formation energy from raw total energies is -134 meV/atom.

The structure belongs to space group P4/mmm (No. 123); the cell edges are 4.786, 4.786 and 5.114 Å and the angles 90.00°, 90.00° and 90.00°. The distinct sites, in fractional coordinates, are Zn at (0.000, 0.000, 0.000), In at (0.500, 0.500, 0.500), P at (0.000, 0.000, 0.500) and Cl at (0.000, 0.500, 0.000).

Entry 4:
This record from the Alexandria database describes crystalline Ba2InHg at its relaxed geometry. The functional is PBE.

Its total energy is -1.994 eV/atom. As for the formation energy: -0.2729 eV/atom.

The structure belongs to space group R-3m (No. 166, hexagonal axes); the cell edges are 4.4214, 4.4214 and 30.5098 Å and the angles 90.00°, 90.00° and 120.00°. The distinct sites, in fractional coordinates, are Ba at (0.0000, 0.0000, 0.2476), In at (0.0000, 0.0000, 0.0000) and Hg at (0.0000, 0.0000, 0.5000).

Entry 5:
This record from the Alexandria database describes crystalline La2FeCo12Si3 at its relaxed geometry. The functional is PBE.

Its total energy is -6.534 eV/atom. Its formation energy from raw total energies is 125 meV/atom.

The structure belongs to space group R-3m (No. 166, hexagonal axes); the cell edges are 6.0014, 6.0014 and 25.3420 Å and the angles 90.00°, 90.00° and 120.00°. The distinct sites, in fractional coordinates, are La at (0.0000, 0.0000, 0.1547), Fe at (0.0000, 0.0000, 0.5000), Co at (0.0607, 0.5304, 0.0917), Co at (0.0643, 0.5321, 0.6200) and Si at (0.0000, 0.5000, 0.0000).

Entry 6:
This record from the Alexandria database describes crystalline BaHfBr2 at its relaxed geometry. The functional is PBE.

Its total energy is -4.328 eV/atom. Its formation energy from raw total energies is -523 meV/atom.

The structure belongs to space group R-3m (No. 166, hexagonal axes); the cell edges are 3.5518, 3.5518 and 32.0099 Å and the angles 90.00°, 90.00° and 120.00°. The distinct sites, in fractional coordinates, are Ba at (0.0000, 0.0000, 0.0000), Hf at (0.0000, 0.0000, 0.5000) and Br at (0.0000, 0.0000, 0.1064).

Entry 7:
This record from the Alexandria database describes crystalline EuTmHf at its relaxed geometry. The functional is PBE.

Its total energy is -8.037 eV/atom. As for the formation energy: 0.1964 eV/atom.

The structure belongs to space group I4mm (No. 107); the cell edges are 3.381, 3.381 and 15.285 Å and the angles 90.00°, 90.00° and 90.00°. The distinct sites, in fractional coordinates, are Eu at (0.000, 0.000, 0.000), Tm at (0.000, 0.000, 0.307) and Hf at (0.000, 0.000, 0.668).

Entry 8:
This record from the Alexandria database describes crystalline MgNbCr2Tc at its relaxed geometry. The functional is PBE.

Its total energy is -6.358 eV/atom. As for the formation energy: 1.8971 eV/atom.

The structure belongs to space group P4/mmm (No. 123); the cell edges are 4.394, 4.394 and 4.986 Å and the angles 90.00°, 90.00° and 90.00°. The distinct sites, in fractional coordinates, are Mg at (0.000, 0.000, 0.000), Nb at (0.000, 0.000, 0.500), Cr at (0.000, 0.500, 0.500) and Tc at (0.500, 0.500, 0.000).